## a
Computed, not measured: crystalline BiAs at its relaxed geometry at the PBE level of DFT.

Unit cell a=6.0224 b=6.0367 c=12.1452 alpha=90.00 beta=90.00 gamma=90.00
Closest atoms and distances in Å follow each position.
Atoms (fractional coordinates):
As  0.7504  0.0022  0.2525  6 Bi 2.93-3.15
As  0.2495  0.9992  0.0021  6 Bi 2.93-3.14
As  0.2504  0.4978  0.7475  6 Bi 2.93-3.15
As  0.7496  0.9978  0.7525  6 Bi 2.93-3.15
As  0.2496  0.5022  0.2475  6 Bi 2.93-3.15
As  0.7505  0.4992  0.4979  6 Bi 2.93-3.14
As  0.7495  0.5008  0.9979  6 Bi 2.93-3.14
As  0.2505  0.0008  0.5021  6 Bi 2.93-3.14
Bi  0.7496  0.4867  0.2393  6 As 2.93-3.14
Bi  0.7504  0.5133  0.7393  6 As 2.93-3.14
Bi  0.2466  0.4964  0.4884  6 As 2.93-3.15
Bi  0.2504  0.9867  0.2607  6 As 2.93-3.14
Bi  0.2534  0.5036  0.9884  6 As 2.93-3.15
Bi  0.2496  0.0133  0.7607  6 As 2.93-3.14
Bi  0.7466  0.0036  0.5116  6 As 2.93-3.15
Bi  0.7534  0.9964  0.0116  6 As 2.93-3.15

* magnetization: 0.000 μB per formula unit

## b
Computed, not measured: crystalline BiAs at its relaxed geometry at the PBE level of DFT.

Unit cell a=4.2398 b=4.4282 c=18.1799 alpha=90.00 beta=90.00 gamma=90.00
Closest atoms and distances in Å follow each position.
Atoms (fractional coordinates):
As  0.0000  0.7747  0.3356  4 Bi 2.84-3.12
As  0.0000  0.7237  0.0000  4 Bi 2.87-3.00
As  0.5000  0.2253  0.1644  4 Bi 2.84-3.12
As  0.0000  0.7747  0.6644  4 Bi 2.84-3.12
As  0.5000  0.2253  0.8356  4 Bi 2.84-3.12
As  0.5000  0.2763  0.5000  4 Bi 2.87-3.00
Bi  0.0000  0.7971  0.1638  4 As 2.84-3.12
Bi  0.5000  0.2882  0.0000  4 As 2.87-3.00
Bi  0.0000  0.7971  0.8362  4 As 2.84-3.12
Bi  0.5000  0.2029  0.6638  4 As 2.84-3.12
Bi  0.0000  0.7118  0.5000  4 As 2.87-3.00
Bi  0.5000  0.2029  0.3362  4 As 2.84-3.12

* magnetization: 0.000 μB per formula unit

## c
Computed, not measured: crystalline BiAs at its relaxed geometry at the PBE level of DFT.

Unit cell a=8.1803 b=8.1803 c=8.1803 alpha=90.00 beta=90.00 gamma=90.00
Closest atoms and distances in Å follow each position.
Atoms (fractional coordinates):
As  0.5000  0.2500  0.0000  4 Bi 2.89
As  0.5000  0.7500  0.0000  4 Bi 2.89
As  0.2500  0.0000  0.5000  4 Bi 2.89
As  0.0000  0.5000  0.7500  4 Bi 2.89
As  0.0000  0.5000  0.2500  4 Bi 2.89
As  0.7500  0.0000  0.5000  4 Bi 2.89
Bi  0.0000  0.7500  0.5000  4 As 2.89
Bi  0.5000  0.0000  0.2500  4 As 2.89
Bi  0.2500  0.5000  0.0000  4 As 2.89
Bi  0.5000  0.0000  0.7500  4 As 2.89
Bi  0.0000  0.2500  0.5000  4 As 2.89
Bi  0.7500  0.5000  0.0000  4 As 2.89

* magnetization: 0.000 μB per formula unit

Most stable structure, least stable structure: b, c.

## a
Computed, not measured: crystalline BiAs at its relaxed geometry at the PBE level of DFT.

Unit cell a=9.4191 b=4.1557 c=8.7430 alpha=90.00 beta=90.00 gamma=90.00
Closest atoms and distances in Å follow each position.
Atoms (fractional coordinates):
As  0.5000  0.9928  0.8851  4 Bi 2.79-3.01
As  0.8530  0.5041  0.1108  1 As 2.77, 2 Bi 2.81
As  0.6470  0.4959  0.6108  1 As 2.77, 2 Bi 2.81
As  0.1470  0.5041  0.1108  1 As 2.77, 2 Bi 2.81
As  0.0000  0.0072  0.3851  4 Bi 2.79-3.01
As  0.3530  0.4959  0.6108  1 As 2.77, 2 Bi 2.81
Bi  0.5000  0.4934  0.0989  2 As 2.79-2.80
Bi  0.6810  0.9958  0.3982  3 As 2.81-3.01
Bi  0.8190  0.0042  0.8982  3 As 2.81-3.01
Bi  0.1810  0.0042  0.8982  3 As 2.81-3.01
Bi  0.0000  0.5066  0.5989  2 As 2.79-2.80
Bi  0.3190  0.9958  0.3982  3 As 2.81-3.01

* magnetization: 0.000 μB per formula unit

## b
Computed, not measured: crystalline BiAs at its relaxed geometry at the PBE level of DFT.

Unit cell a=5.0416 b=5.0417 c=6.4854 alpha=90.00 beta=90.00 gamma=120.00
Closest atoms and distances in Å follow each position.
Atoms (fractional coordinates):
Bi  0.3333  0.6667  0.7570  4 As 2.80-2.94
Bi  0.6667  0.3333  0.2570  4 As 2.80-2.94
As  0.6667  0.3333  0.8250  4 Bi 2.80-2.94
As  0.3333  0.6667  0.3250  4 Bi 2.80-2.94

* magnetization: 0.000 μB per formula unit

## c
Computed, not measured: crystalline BiAs at its relaxed geometry at the PBE level of DFT.

Unit cell a=9.4283 b=9.4283 c=9.4283 alpha=90.00 beta=90.00 gamma=90.00
Closest atoms and distances in Å follow each position.
Atoms (fractional coordinates):
Bi  0.1437  0.8563  0.1437  3 As 2.85
Bi  0.3563  0.3563  0.3563  3 As 2.85
Bi  0.3563  0.6437  0.6437  3 As 2.85
Bi  0.8563  0.1437  0.1437  3 As 2.85
Bi  0.6437  0.6437  0.3563  3 As 2.85
Bi  0.8563  0.8563  0.8563  3 As 2.85
Bi  0.6437  0.3563  0.6437  3 As 2.85
Bi  0.1437  0.1437  0.8563  3 As 2.85
As  0.6582  0.6582  0.6582  3 Bi 2.85
As  0.3418  0.6582  0.3418  3 Bi 2.85
As  0.3418  0.3418  0.6582  3 Bi 2.85
As  0.8418  0.8418  0.1582  3 Bi 2.85
As  0.1582  0.1582  0.1582  3 Bi 2.85
As  0.8418  0.1582  0.8418  3 Bi 2.85
As  0.6582  0.3418  0.3418  3 Bi 2.85
As  0.1582  0.8418  0.8418  3 Bi 2.85

* magnetization: 0.000 μB per formula unit

## d
Computed, not measured: crystalline BiAs at its relaxed geometry at the PBE level of DFT.

Unit cell a=6.7128 b=6.7128 c=6.7128 alpha=90.00 beta=90.00 gamma=90.00
Closest atoms and distances in Å follow each position.
Atoms (fractional coordinates):
As  0.7500  0.2500  0.7500  4 Bi 2.91
As  0.2500  0.7500  0.7500  4 Bi 2.91
As  0.7500  0.7500  0.2500  4 Bi 2.91
As  0.2500  0.2500  0.2500  4 Bi 2.91
Bi  0.0000  0.5000  0.5000  4 As 2.91
Bi  0.0000  0.0000  0.0000  4 As 2.91
Bi  0.5000  0.5000  0.0000  4 As 2.91
Bi  0.5000  0.0000  0.5000  4 As 2.91

* magnetization: 0.000 μB per formula unit

Most stable structure, least stable structure: b, c.

## a
Computed, not measured: crystalline BiAs at its relaxed geometry at the PBE level of DFT.

Unit cell a=8.8685 b=8.8685 c=6.0952 alpha=90.00 beta=90.00 gamma=120.00
Closest atoms and distances in Å follow each position.
Atoms (fractional coordinates):
As  0.0283  0.3510  0.7500  4 Bi 2.78-3.06
As  0.3227  0.9717  0.7500  4 Bi 2.78-3.06
As  0.6490  0.6773  0.7500  4 Bi 2.78-3.06
As  0.3510  0.3227  0.2500  4 Bi 2.78-3.06
As  0.6773  0.0283  0.2500  4 Bi 2.78-3.06
As  0.9717  0.6490  0.2500  4 Bi 2.78-3.06
Bi  0.0068  0.6606  0.7500  4 As 2.78-3.06
Bi  0.6538  0.9932  0.7500  4 As 2.78-3.06
Bi  0.6606  0.6538  0.2500  4 As 2.78-3.06
Bi  0.9932  0.3394  0.2500  4 As 2.78-3.06
Bi  0.3394  0.3462  0.7500  4 As 2.78-3.06
Bi  0.3462  0.0068  0.2500  4 As 2.78-3.06

* magnetization: 0.000 μB per formula unit

## b
Computed, not measured: crystalline BiAs at its relaxed geometry at the PBE level of DFT.

Unit cell a=4.2662 b=4.2662 c=4.2662 alpha=60.00 beta=60.00 gamma=60.00
Closest atoms and distances in Å follow each position.
Atoms (fractional coordinates):
As  0.0000  0.0000  0.0000  6 Bi 3.02
Bi  0.5000  0.5000  0.5000  6 As 3.02

* magnetization: 0.000 μB per formula unit

## c
Computed, not measured: crystalline BiAs at its relaxed geometry at the PBE level of DFT.

Unit cell a=11.7965 b=11.7965 c=4.0908 alpha=90.00 beta=90.00 gamma=90.00
Closest atoms and distances in Å follow each position.
Atoms (fractional coordinates):
Bi  0.3866  0.2853  0.0000  3 As 2.79-2.90
Bi  0.6134  0.7147  0.0000  3 As 2.79-2.90
Bi  0.8866  0.7853  0.5000  3 As 2.79-2.90
Bi  0.1134  0.2147  0.5000  3 As 2.79-2.90
Bi  0.2147  0.8866  0.5000  3 As 2.79-2.90
Bi  0.7147  0.3866  0.0000  3 As 2.79-2.90
Bi  0.7853  0.1134  0.5000  3 As 2.79-2.90
Bi  0.2853  0.6134  0.0000  3 As 2.79-2.90
As  0.8444  0.6301  0.0000  3 Bi 2.79-2.90
As  0.8699  0.3444  0.5000  3 Bi 2.79-2.90
As  0.3699  0.8444  0.0000  3 Bi 2.79-2.90
As  0.1556  0.3699  0.0000  3 Bi 2.79-2.90
As  0.3444  0.1301  0.5000  3 Bi 2.79-2.90
As  0.6301  0.1556  0.0000  3 Bi 2.79-2.90
As  0.1301  0.6556  0.5000  3 Bi 2.79-2.90
As  0.6556  0.8699  0.5000  3 Bi 2.79-2.90

* magnetization: 0.000 μB per formula unit

Most stable structure, least stable structure: b, c.

## a
Computed, not measured: crystalline Bi3As at its relaxed geometry at the PBE level of DFT.

Unit cell a=4.3674 b=4.8784 c=6.2843 alpha=90.00 beta=90.00 gamma=90.00
Closest atoms and distances in Å follow each position.
Atoms (fractional coordinates):
Bi  0.5000  0.2567  0.0000  2 As 2.85
Bi  0.5000  0.3813  0.5000  4 Bi 3.04-3.20
Bi  0.0000  0.8137  0.5000  2 Bi 3.04, 2 As 3.16
As  0.0000  0.8817  0.0000  4 Bi 2.85-3.16

* magnetization: 0.000 μB per formula unit

## b
Computed, not measured: crystalline Bi3As at its relaxed geometry at the PBE level of DFT.

Unit cell a=8.6235 b=8.6235 c=3.9606 alpha=90.00 beta=90.00 gamma=120.00
Closest atoms and distances in Å follow each position.
Atoms (fractional coordinates):
As  0.3333  0.6667  0.7500  6 Bi 3.04
As  0.6667  0.3333  0.2500  6 Bi 3.04
Bi  0.8207  0.6414  0.7500  2 As 3.04, 4 Bi 3.33
Bi  0.8207  0.1793  0.7500  2 As 3.04, 4 Bi 3.33
Bi  0.6414  0.8207  0.2500  2 As 3.04, 4 Bi 3.33
Bi  0.1793  0.8207  0.2500  2 As 3.04, 4 Bi 3.33
Bi  0.1793  0.3586  0.2500  2 As 3.04, 4 Bi 3.33
Bi  0.3586  0.1793  0.7500  2 As 3.04, 4 Bi 3.33

* magnetization: 0.000 μB per formula unit

## c
Computed, not measured: crystalline Bi3As at its relaxed geometry at the PBE level of DFT.

Unit cell a=5.5068 b=9.6241 c=5.6216 alpha=90.00 beta=90.00 gamma=90.00
Closest atoms and distances in Å follow each position.
Atoms (fractional coordinates):
Bi  0.0000  0.0000  0.5000  2 As 2.75
Bi  0.5000  0.6651  0.5029  3 Bi 3.18-3.25, 3 As 3.21-3.24
Bi  0.5000  0.1651  0.9971  3 Bi 3.18-3.25, 3 As 3.21-3.24
Bi  0.5000  0.3349  0.4971  3 Bi 3.18-3.25, 3 As 3.21-3.24
Bi  0.0000  0.5000  0.0000  2 As 2.75
Bi  0.5000  0.8349  0.0029  3 Bi 3.18-3.25, 3 As 3.21-3.24
As  0.5000  0.0000  0.5000  2 Bi 2.75
As  0.5000  0.5000  0.0000  2 Bi 2.75

* magnetization: 0.000 μB per formula unit

Most stable structure, least stable structure: a, c.